Density functional theory data (GGA-PBE) for a relaxed CaZn2Cl crystal.

Geometry as POSCAR:
```
CaZn2Cl
1.0
-1.211 1.753 -3.792
-2.426 -2.297 -2.786
-5.373 2.307 2.797
Ca Zn Cl
1 2 1
direct
0.458 0.458 0.525
0.792 0.792 0.817
0.125 0.125 0.841
0.125 0.125 0.317
```

Results
- energy above the most stable polymorph in this dataset (eV per atom) = 0.000
- N(E_F) (states/eV/atom) = 0.382
- space group = Cm, No. 8
- E (Ha/atom) = -0.0845
- formation energy (no corrections) (eV per atom) = -0.7014

***

Density functional theory data (GGA-PBE) for a relaxed MgAg2SO6 crystal.

Geometry as POSCAR:
```
MgAg2SO6
1.0
5.266 0.000 0.000
0.000 5.977 0.000
0.000 -2.988 5.176
O S Mg Ag
6 1 1 2
direct
0.805 0.744 0.872
0.195 0.872 0.128
0.195 0.256 0.128
0.805 0.128 0.872
0.805 0.128 0.256
0.195 0.872 0.744
0.000 0.000 0.000
0.500 0.000 0.000
0.882 0.333 0.667
0.118 0.667 0.333
```

Results
- N(E_F) (states/eV/atom) = 0.563
- space group = P-3m1, No. 164
- E (Ha/atom) = -0.1773
- formation energy (no corrections) (eV per atom) = -0.7063

***

Density functional theory data (GGA-PBE) for a relaxed AgPd2Se3 crystal.

Geometry as POSCAR:
```
AgPd2Se3
1.0
-3.162 1.032 -3.995
5.539 -1.555 -4.786
-4.627 -5.430 2.259
Ag Pd Se
2 4 6
direct
0.638 0.333 0.667
0.362 0.667 0.333
0.000 0.000 0.000
0.000 0.500 0.500
0.000 0.500 0.000
0.000 0.000 0.500
0.244 0.174 0.826
0.244 0.652 0.826
0.756 0.826 0.174
0.756 0.826 0.652
0.756 0.348 0.174
0.244 0.174 0.348
```

Results
- N(E_F) (states/eV/atom) = 0.433
- space group = P-3m1, No. 164
- E (Ha/atom) = -0.1545
- formation energy (no corrections) (eV per atom) = -0.2553

***

Density functional theory data (GGA-PBE) for a relaxed DySc2Se4 crystal.

Geometry as POSCAR:
```
DySc2Se4
1.0
3.860 0.000 0.000
-1.930 6.382 0.000
0.000 0.000 13.350
Sc Se Dy
4 8 2
direct
0.128 0.256 0.065
0.872 0.744 0.935
0.128 0.256 0.435
0.872 0.744 0.565
0.959 0.918 0.750
0.500 0.000 0.000
0.774 0.547 0.382
0.774 0.547 0.118
0.500 0.000 0.500
0.226 0.453 0.618
0.041 0.082 0.250
0.226 0.453 0.882
0.376 0.751 0.250
0.624 0.249 0.750
```

Results
- N(E_F) (states/eV/atom) = 0.387
- space group = Cmcm, No. 63
- E (Ha/atom) = -0.2278
- formation energy (no corrections) (eV per atom) = -1.7417

***

Density functional theory data (GGA-PBE) for a relaxed In5Ag crystal.

Geometry as POSCAR:
```
In5Ag
1.0
-3.885 -1.518 -4.520
-4.481 3.882 -1.636
0.282 2.918 -5.406
In Ag
5 1
direct
0.625 0.124 0.625
0.124 0.625 0.625
0.250 0.250 0.250
0.625 0.625 0.124
0.625 0.625 0.625
0.000 0.000 0.000
```

Results
- energy above the most stable polymorph in this dataset (eV per atom) = 0.207
- N(E_F) (states/eV/atom) = 0.477
- calculated formation energy (eV/atom) = 0.22
- space group = F-43m, No. 216
- E (Ha/atom) = -0.0933

***

Density functional theory data (GGA-PBE) for a relaxed BaAl6Cu3 crystal.

Geometry as POSCAR:
```
BaAl6Cu3
1.0
6.586 0.000 0.000
0.000 6.497 -2.799
0.000 0.276 8.279
Ba Al Cu
2 12 6
direct
0.000 0.000 0.000
0.500 0.500 0.500
0.010 0.532 0.674
0.490 0.032 0.174
0.176 0.912 0.614
0.199 0.801 0.271
0.324 0.412 0.114
0.510 0.968 0.826
0.676 0.588 0.886
0.801 0.199 0.729
0.699 0.699 0.229
0.990 0.468 0.326
0.824 0.088 0.386
0.301 0.301 0.771
0.825 0.814 0.560
0.325 0.686 0.940
0.675 0.314 0.060
0.500 0.000 0.500
0.000 0.500 0.000
0.175 0.186 0.440
```

Results
- N(E_F) (states/eV/atom) = 0.379
- calculated formation energy (eV/atom) = -0.09
- space group = P2_1/c, No. 14
- E (Ha/atom) = -0.1379

***

Density functional theory data (GGA-PBE) for a relaxed Ac2Ce2Au5 crystal.

Geometry as POSCAR:
```
Ac2Ce2Au5
1.0
8.091 0.000 0.000
0.000 8.085 0.000
0.000 -4.043 7.926
Ac Ce Au
4 4 10
direct
0.500 0.701 0.402
0.000 0.799 0.598
0.000 0.201 0.402
0.500 0.299 0.598
0.851 0.350 0.000
0.149 0.650 0.000
0.351 0.150 0.000
0.649 0.850 0.000
0.651 0.281 0.258
0.000 0.000 0.000
0.500 0.500 0.000
0.849 0.781 0.258
0.151 0.219 0.742
0.349 0.976 0.258
0.849 0.524 0.742
0.651 0.024 0.742
0.349 0.719 0.742
0.151 0.476 0.258
```

Results
- N(E_F) (states/eV/atom) = 1.874
- calculated formation energy (eV/atom) = -0.66
- space group = Cmce, No. 64
- E (Ha/atom) = -0.1731

***

Density functional theory data (GGA-PBE) for a relaxed LiTl2Cd crystal.

Geometry as POSCAR:
```
LiTl2Cd
1.0
-0.261 6.579 4.720
-7.844 0.966 -1.780
-4.856 1.920 4.008
Li Tl Cd
2 4 2
direct
0.500 0.500 0.000
0.250 0.750 0.500
0.875 0.862 0.750
0.138 0.625 0.250
0.375 0.388 0.750
0.612 0.125 0.250
0.000 0.000 0.000
0.750 0.250 0.500
```

Results
- N(E_F) (states/eV/atom) = 0.327
- calculated formation energy (eV/atom) = 0.02
- space group = I-42d, No. 122
- E (Ha/atom) = -0.0688

***

Density functional theory data (GGA-PBE) for a relaxed TlC crystal.

Geometry as POSCAR:
```
TlC
1.0
3.256 -5.640 0.000
3.256 5.640 0.000
0.000 0.000 3.378
Tl C
3 3
direct
0.500 0.500 0.000
0.500 0.000 0.000
0.000 0.500 0.000
0.000 0.000 0.000
0.667 0.333 0.500
0.333 0.667 0.500
```

Results
- energy above the most stable polymorph in this dataset (eV per atom) = 1.715
- N(E_F) (states/eV/atom) = 0.286
- calculated formation energy (eV/atom) = 2.50
- space group = P6/mmm, No. 191
- E (Ha/atom) = -0.1211

***

Density functional theory data (GGA-PBE) for a relaxed Pr4BiPS2 crystal.

Geometry as POSCAR:
```
Pr4BiPS2
1.0
-1.879 3.515 -1.520
-3.240 -3.994 -5.230
-6.629 -2.470 2.484
Pr S P Bi
4 2 1 1
direct
0.000 0.766 0.725
0.000 0.234 0.275
0.500 0.753 0.265
0.500 0.247 0.735
0.000 0.000 0.000
0.500 0.000 0.500
0.000 0.500 0.500
0.500 0.500 0.000
```

Results
- N(E_F) (states/eV/atom) = 0.417
- space group = P2/m, No. 10
- E (Ha/atom) = -0.2268
- formation energy (no corrections) (eV per atom) = -1.5884

***

Copy entry 2 word for word.
Density functional theory data (GGA-PBE) for a relaxed MgAg2SO6 crystal.

Geometry as POSCAR:
```
MgAg2SO6
1.0
5.266 0.000 0.000
0.000 5.977 0.000
0.000 -2.988 5.176
O S Mg Ag
6 1 1 2
direct
0.805 0.744 0.872
0.195 0.872 0.128
0.195 0.256 0.128
0.805 0.128 0.872
0.805 0.128 0.256
0.195 0.872 0.744
0.000 0.000 0.000
0.500 0.000 0.000
0.882 0.333 0.667
0.118 0.667 0.333
```

Results
- N(E_F) (states/eV/atom) = 0.563
- space group = P-3m1, No. 164
- E (Ha/atom) = -0.1773
- formation energy (no corrections) (eV per atom) = -0.7063

***

Question: The lowest N(E_F) belongs to which entry?
Answer: TlC

***

Question: Look up the N(E_F) of the tenth one.
Answer: 0.417 states/eV/atom

***

Question: Which of these has the lowest E?
Answer: DySc2Se4